Record 1
VASP calculation (PBE-GGA) on a geometry-optimized BaCaTa structure.

The value obtained for the density of states at the Fermi level is 23.3 states/eV per cell. The value obtained for the energy relative to the lowest polymorph listed for this composition is 0.925 eV per atom. For the density, the calculation gives 5.356 g/cm3. The calculation puts the total energy at -3.467 eV/atom.

The space group is F-43m (No. 216) and the conventional cell measures 7.631, 7.631 and 7.631 Å, with angles of 90.00, 90.00 and 90.00 degrees. The distinct sites, in fractional coordinates, are Ba at (0.000, 0.000, 0.000), Ca at (0.250, 0.250, 0.750) and Ta at (0.250, 0.250, 0.250).

Record 2
VASP calculation (PBE-GGA) on a geometry-optimized BaCaTa2 structure.

The value obtained for the density of states at the Fermi level is 9.3 states/eV per cell. The value obtained for the energy relative to the lowest polymorph listed for this composition is 0.387 eV per atom. For the density, the calculation gives 7.606 g/cm3. The calculation puts the total energy at -6.025 eV/atom.

The space group is Imm2 (No. 44) and the conventional cell measures 3.389, 6.043 and 11.498 Å, with angles of 90.00, 90.00 and 90.00 degrees. The distinct sites, in fractional coordinates, are Ba at (0.000, 0.000, 0.000), Ca at (0.000, 0.500, 0.799), Ta at (0.000, 0.000, 0.565) and Ta at (0.000, 0.500, 0.233).

Record 3
VASP calculation (PBE-GGA) on a geometry-optimized BaCaTa structure.

The value obtained for the density of states at the Fermi level is 10.1 states/eV per cell. The value obtained for the energy relative to the lowest polymorph listed for this composition is 0.000 eV per atom. For the density, the calculation gives 6.250 g/cm3. The calculation puts the total energy at -4.393 eV/atom.

The space group is I4mm (No. 107) and the conventional cell measures 3.323, 3.323 and 17.248 Å, with angles of 90.00, 90.00 and 90.00 degrees. The distinct sites, in fractional coordinates, are Ba at (0.000, 0.000, 0.000), Ca at (0.000, 0.000, 0.289) and Ta at (0.000, 0.000, 0.657).

Record 4
VASP calculation (PBE-GGA) on a geometry-optimized BaCaTa2 structure.

The value obtained for the density of states at the Fermi level is 6.4 states/eV per cell. The value obtained for the energy relative to the lowest polymorph listed for this composition is 0.651 eV per atom. For the density, the calculation gives 8.941 g/cm3. The calculation puts the total energy at -5.761 eV/atom.

The space group is P4/mmm (No. 123) and the conventional cell measures 4.281, 4.281 and 5.465 Å, with angles of 90.00, 90.00 and 90.00 degrees. The distinct sites, in fractional coordinates, are Ba at (0.000, 0.000, 0.000), Ca at (0.500, 0.500, 0.000) and Ta at (0.000, 0.500, 0.500).

Record 5
VASP calculation (PBE-GGA) on a geometry-optimized BaCa2TaTc structure.

The value obtained for the density of states at the Fermi level is 9.8 states/eV per cell. For the density, the calculation gives 5.414 g/cm3. The calculation puts the total energy at -3.226 eV/atom.

The space group is P4/mmm (No. 123) and the conventional cell measures 5.425, 5.425 and 5.174 Å, with angles of 90.00, 90.00 and 90.00 degrees. The distinct sites, in fractional coordinates, are Ba at (0.000, 0.000, 0.000), Ca at (0.000, 0.500, 0.000), Ta at (0.000, 0.000, 0.500) and Tc at (0.500, 0.500, 0.500).

Record 6
VASP calculation (PBE-GGA) on a geometry-optimized BaCa14Tb structure.

The value obtained for the density of states at the Fermi level is 41.9 states/eV per cell. For the density, the calculation gives 2.109 g/cm3. The calculation puts the total energy at -2.114 eV/atom.

The space group is Amm2 (No. 38) and the conventional cell measures 12.814, 7.782 and 13.541 Å, with angles of 90.00, 90.00 and 90.00 degrees. The distinct sites, in fractional coordinates, are Ba at (0.000, 0.000, 0.000), Ca at (0.000, 0.249, 0.249), Ca at (0.245, 0.000, 0.663), Ca at (0.250, 0.245, 0.415), Ca at (0.254, 0.000, 0.166), Ca at (0.500, 0.000, 0.331), Ca at (0.500, 0.000, 0.830), Ca at (0.500, 0.249, 0.581) and Tb at (0.000, 0.000, 0.499).

Record 7
VASP calculation (PBE-GGA) on a geometry-optimized BaCa2Tc structure.

The value obtained for the density of states at the Fermi level is 22.8 states/eV per cell. The value obtained for the energy relative to the lowest polymorph listed for this composition is 0.417 eV per atom. For the density, the calculation gives 2.953 g/cm3. The calculation puts the total energy at -3.137 eV/atom.

The space group is I4_1/amd (No. 141, origin choice 2) and the conventional cell measures 7.890, 7.890 and 11.397 Å, with angles of 90.00, 90.00 and 90.00 degrees. The distinct sites, in fractional coordinates, are Ba at (0.000, 0.250, 0.375), Ca at (0.000, 0.000, 0.000) and Tc at (0.000, 0.250, 0.875).

Record 8
VASP calculation (PBE-GGA) on a geometry-optimized BaCa2Tc structure.

The value obtained for the density of states at the Fermi level is 8.7 states/eV per cell. The value obtained for the energy relative to the lowest polymorph listed for this composition is 0.162 eV per atom. For the density, the calculation gives 4.350 g/cm3. The calculation puts the total energy at -3.391 eV/atom.

The space group is I4/mmm (No. 139) and the conventional cell measures 5.071, 5.071 and 9.368 Å, with angles of 90.00, 90.00 and 90.00 degrees. The distinct sites, in fractional coordinates, are Ba at (0.000, 0.000, 0.000), Ca at (0.000, 0.500, 0.250) and Tc at (0.000, 0.000, 0.500).

Record 9
VASP calculation (PBE-GGA) on a geometry-optimized BaCa2Tc structure.

The value obtained for the density of states at the Fermi level is 10.0 states/eV per cell. The value obtained for the energy relative to the lowest polymorph listed for this composition is 0.315 eV per atom. For the density, the calculation gives 4.098 g/cm3. The calculation puts the total energy at -3.238 eV/atom.

The space group is C2/m (No. 12) and the conventional cell measures 6.801, 11.557 and 3.572 Å, with angles of 90.00, 114.39 and 90.00 degrees. The distinct sites, in fractional coordinates, are Ba at (0.000, 0.000, 0.000), Ca at (0.250, 0.250, 0.500) and Tc at (0.000, 0.500, 0.000).

Record 10
VASP calculation (PBE-GGA) on a geometry-optimized BaCa4Tc structure.

The value obtained for the density of states at the Fermi level is 43.6 states/eV per cell. For the density, the calculation gives 2.732 g/cm3. The calculation puts the total energy at -2.567 eV/atom.

The space group is F-43m (No. 216) and the conventional cell measures 9.872, 9.872 and 9.872 Å, with angles of 90.00, 90.00 and 90.00 degrees. The distinct sites, in fractional coordinates, are Ba at (0.000, 0.000, 0.000), Ca at (0.124, 0.124, 0.624) and Tc at (0.250, 0.250, 0.250).

Record 11
VASP calculation (PBE-GGA) on a geometry-optimized BaCa2Tc structure.

The value obtained for the density of states at the Fermi level is 9.6 states/eV per cell. The value obtained for the energy relative to the lowest polymorph listed for this composition is 0.182 eV per atom. For the density, the calculation gives 4.218 g/cm3. The calculation puts the total energy at -3.371 eV/atom.

The space group is I-4m2 (No. 119) and the conventional cell measures 5.256, 5.256 and 8.990 Å, with angles of 90.00, 90.00 and 90.00 degrees. The distinct sites, in fractional coordinates, are Ba at (0.000, 0.000, 0.000), Ca at (0.000, 0.000, 0.500), Ca at (0.000, 0.500, 0.750) and Tc at (0.000, 0.500, 0.250).

Record 12
VASP calculation (PBE-GGA) on a geometry-optimized BaCa2Tc structure.

The value obtained for the density of states at the Fermi level is 5.2 states/eV per cell. The value obtained for the energy relative to the lowest polymorph listed for this composition is 0.000 eV per atom. For the density, the calculation gives 3.831 g/cm3. The calculation puts the total energy at -3.553 eV/atom.

The space group is P4/mmm (No. 123) and the conventional cell measures 3.619, 3.619 and 10.443 Å, with angles of 90.00, 90.00 and 90.00 degrees. The distinct sites, in fractional coordinates, are Ba at (0.000, 0.000, 0.000), Ca at (0.500, 0.500, 0.332) and Tc at (0.000, 0.000, 0.500).